# PBE+U LiPuMn2O8, optimized geometry
data_LiPuMn2O8
_symmetry_space_group_name_H-M 'P 1'
_symmetry_Int_Tables_number 1
_cell_length_a 5.857
_cell_length_b 5.857
_cell_length_c 5.857
_cell_angle_alpha 108.30
_cell_angle_beta 108.30
_cell_angle_gamma 111.85
loop_
_symmetry_equiv_pos_as_xyz
'x,y,z'
loop_
_atom_site_label
_atom_site_fract_x
_atom_site_fract_y
_atom_site_fract_z
Pu1 0.250 0.750 0.500
O1 0.297 0.077 0.781
O2 0.484 0.703 0.781
O3 0.908 0.220 0.311
O4 0.908 0.597 0.689
O5 0.780 0.092 0.689
O6 0.297 0.516 0.219
O7 0.923 0.703 0.219
O8 0.403 0.092 0.311
Mn1 0.750 0.250 0.500
Mn2 0.500 0.500 0.000
Li1 0.000 0.000 0.000
# Electronic total energy ... -89.10 eV for the cell shown
# Magnetization ... 7.0 μB per cell
# Crystal system ... tetragonal